This record from Alexandria via LeMat-Bulk describes an optimized crystal structure of Sr2CaTi2. The functional is PBE.

Unit cell a=9.6133 b=9.6133 c=3.7598 alpha=90.00 beta=90.00 gamma=90.00
Each line ends with the local moment (μB).
Sites, in units of the cell vectors:
Ti (0.4186, 0.9186, 0.0000)  0.73
Ti (0.9186, 0.5814, 0.0000)  0.75
Ti (0.0814, 0.4186, 0.0000)  0.75
Ti (0.5814, 0.0814, 0.0000)  0.73
Sr (0.6984, 0.8016, 0.5000)  0.00
Sr (0.3016, 0.1984, 0.5000)  0.00
Sr (0.8016, 0.3016, 0.5000)  0.00
Sr (0.1984, 0.6984, 0.5000)  0.00
Ca (0.5000, 0.5000, 0.0000)  -0.03
Ca (0.0000, 0.0000, 0.0000)  -0.03

**Magnetization**: 0.3162 μB/atom
**Energy relative to the lowest polymorph listed for this composition**: 0.0 meV per atom
**Space group**: P4/mbm, No. 127

=====

This record from Alexandria via LeMat-Bulk describes an optimized crystal structure of AuI3N. The functional is PBE.

Unit cell a=5.6835 b=5.6835 c=5.6835 alpha=90.00 beta=90.00 gamma=90.00
Each line ends with the local moment (μB).
Sites, in units of the cell vectors:
I (0.0000, 0.5000, 0.0000)  0.01
I (0.5000, 0.0000, 0.0000)  0.02
I (0.0000, 0.0000, 0.5000)  0.02
Au (0.0000, 0.0000, 0.0000)  0.00
N (0.5000, 0.5000, 0.5000)  1.91

**Magnetization**: 0.5962 μB/atom
**Energy relative to the lowest polymorph listed for this composition**: 422.8 meV per atom
**Space group**: Pm-3m, No. 221

=====

This record from Alexandria via LeMat-Bulk describes an optimized crystal structure of Tl3PdF. The functional is PBE.

Unit cell a=5.3415 b=5.3415 c=5.3415 alpha=90.00 beta=90.00 gamma=90.00
Sites, in units of the cell vectors:
Pd (0.0000, 0.0000, 0.0000)
Tl (0.0000, 0.0000, 0.5000)
Tl (0.0000, 0.5000, 0.0000)
Tl (0.5000, 0.0000, 0.0000)
F (0.5000, 0.5000, 0.5000)

**Magnetization**: 0.0000 μB/atom
**Energy relative to the lowest polymorph listed for this composition**: 0.0 meV per atom
**Space group**: Pm-3m, No. 221

=====

This record from Alexandria via LeMat-Bulk describes an optimized crystal structure of GaGe. The functional is PBE.

Unit cell a=5.9131 b=7.8375 c=7.9040 alpha=90.00 beta=90.00 gamma=90.00
Sites, in units of the cell vectors:
Ge (0.5890, 0.4078, 0.1080)
Ge (0.2282, 0.4086, 0.4835)
Ge (0.2718, 0.5914, 0.9835)
Ge (0.0890, 0.0922, 0.8920)
Ge (0.7718, 0.9086, 0.0165)
Ge (0.4110, 0.9078, 0.3920)
Ge (0.7282, 0.0914, 0.5165)
Ge (0.9110, 0.5922, 0.6080)
Ga (0.4479, 0.1027, 0.0879)
Ga (0.6348, 0.6604, 0.8449)
Ga (0.5521, 0.6027, 0.4121)
Ga (0.8652, 0.3396, 0.3449)
Ga (0.3652, 0.1604, 0.6551)
Ga (0.9479, 0.3973, 0.9121)
Ga (0.0521, 0.8973, 0.5879)
Ga (0.1348, 0.8396, 0.1551)

**Magnetization**: 0.0000 μB/atom
**Energy relative to the lowest polymorph listed for this composition**: 8.6 meV per atom
**Space group**: P2_12_12_1, No. 19

=====

This record from Alexandria via LeMat-Bulk describes an optimized crystal structure of AcTbBiO2. The functional is PBE.

Unit cell a=4.0517 b=4.0517 c=7.6887 alpha=105.28 beta=105.28 gamma=90.00
Sites, in units of the cell vectors:
Ac (0.8378, 0.8378, 0.6757)
Bi (0.5095, 0.5095, 0.0190)
O (0.2420, 0.7420, 0.4840)
O (0.7420, 0.2420, 0.4840)
Tb (0.1687, 0.1687, 0.3374)

**Magnetization**: 0.0000 μB/atom
**E_tot**: -7.119 eV/atom
**Space group**: I4mm, No. 107

=====

This record from Alexandria via LeMat-Bulk describes an optimized crystal structure of Sm3Al5H12. The functional is PBE.

Unit cell a=10.4747 b=10.4747 c=10.4747 alpha=109.47 beta=109.47 gamma=109.47
Sites, in units of the cell vectors:
H (0.3289, 0.7984, 0.4176)
H (0.2984, 0.4176, 0.8289)
H (0.2016, 0.6711, 0.0824)
H (0.7984, 0.4695, 0.3808)
H (0.5824, 0.7016, 0.6711)
H (0.9113, 0.8289, 0.5305)
H (0.5887, 0.6192, 0.4176)
H (0.7984, 0.3289, 0.9176)
H (0.1711, 0.0824, 0.7016)
H (0.0887, 0.1711, 0.4695)
H (0.3808, 0.9695, 0.7984)
H (0.1192, 0.7016, 0.5305)
H (0.9113, 0.0824, 0.8808)
H (0.4113, 0.0305, 0.3289)
H (0.1711, 0.0887, 0.9695)
H (0.8808, 0.2984, 0.4695)
H (0.0887, 0.9176, 0.1192)
H (0.9176, 0.8289, 0.7984)
H (0.9695, 0.5887, 0.1711)
H (0.4113, 0.3808, 0.5824)
H (0.8808, 0.5824, 0.9113)
H (0.2016, 0.5305, 0.6192)
H (0.3808, 0.4113, 0.0824)
H (0.7016, 0.1192, 0.0305)
H (0.0305, 0.4113, 0.8289)
H (0.9176, 0.0887, 0.6192)
H (0.5305, 0.3289, 0.9113)
H (0.0305, 0.6192, 0.7016)
H (0.0824, 0.1711, 0.2016)
H (0.4176, 0.1192, 0.5887)
H (0.5305, 0.2016, 0.1192)
H (0.8289, 0.9113, 0.0305)
H (0.4176, 0.2984, 0.3289)
H (0.4695, 0.7984, 0.8808)
H (0.6192, 0.0305, 0.2016)
H (0.6711, 0.4695, 0.5887)
H (0.7016, 0.5824, 0.1711)
H (0.6711, 0.2016, 0.5824)
H (0.9695, 0.3808, 0.2984)
H (0.8289, 0.9176, 0.2984)
H (0.1192, 0.4176, 0.0887)
H (0.6192, 0.5887, 0.9176)
H (0.4695, 0.6711, 0.0887)
H (0.5824, 0.8808, 0.4113)
H (0.3289, 0.5305, 0.4113)
H (0.0824, 0.9113, 0.3808)
H (0.5887, 0.9695, 0.6711)
H (0.2984, 0.8808, 0.9695)
Al (0.7500, 0.1250, 0.8750)
Al (0.2500, 0.8750, 0.1250)
Al (0.1250, 0.7500, 0.3750)
Al (0.3750, 0.2500, 0.1250)
Al (0.5000, 0.0000, 0.0000)
Al (0.5000, 0.5000, 0.0000)
Al (0.1250, 0.3750, 0.2500)
Al (0.8750, 0.2500, 0.6250)
Al (0.0000, 0.0000, 0.5000)
Al (0.2500, 0.3750, 0.6250)
Al (0.5000, 0.5000, 0.5000)
Al (0.6250, 0.8750, 0.2500)
Al (0.8750, 0.6250, 0.7500)
Al (0.0000, 0.5000, 0.5000)
Al (0.6250, 0.7500, 0.8750)
Al (0.0000, 0.0000, 0.0000)
Al (0.0000, 0.5000, 0.0000)
Al (0.7500, 0.6250, 0.3750)
Al (0.3750, 0.1250, 0.7500)
Al (0.5000, 0.0000, 0.5000)
Sm (0.2500, 0.1250, 0.3750)
Sm (0.2500, 0.6250, 0.8750)
Sm (0.3750, 0.6250, 0.2500)
Sm (0.6250, 0.2500, 0.3750)
Sm (0.8750, 0.7500, 0.1250)
Sm (0.8750, 0.1250, 0.2500)
Sm (0.3750, 0.7500, 0.6250)
Sm (0.6250, 0.3750, 0.7500)
Sm (0.1250, 0.8750, 0.7500)
Sm (0.7500, 0.3750, 0.1250)
Sm (0.7500, 0.8750, 0.6250)
Sm (0.1250, 0.2500, 0.8750)

**Magnetization**: 0.0000 μB/atom
**E_tot**: -3.643 eV/atom
**Space group**: Ia-3d, No. 230

=====

This record from Alexandria via LeMat-Bulk describes an optimized crystal structure of NaMg6Cd. The functional is PBE.

Unit cell a=6.3975 b=6.3975 c=5.2816 alpha=90.00 beta=90.00 gamma=119.95
Sites, in units of the cell vectors:
Mg (0.6603, 0.8277, 0.0000)
Mg (0.3371, 0.1680, 0.5000)
Mg (0.1658, 0.8342, 0.0000)
Mg (0.1723, 0.3397, 0.0000)
Mg (0.6630, 0.3370, 0.0000)
Mg (0.8320, 0.6629, 0.5000)
Na (0.8345, 0.1655, 0.5000)
Cd (0.3350, 0.6650, 0.5000)

**Magnetization**: 0.0000 μB/atom
**E_tot**: -1.478 eV/atom
**Space group**: Amm2, No. 38

=====

This record from Alexandria via LeMat-Bulk describes an optimized crystal structure of InCu2Hg2. The functional is PBE.

Unit cell a=8.1108 b=8.1108 c=2.9544 alpha=90.00 beta=90.00 gamma=90.00
Sites, in units of the cell vectors:
Hg (0.8636, 0.6364, 0.0000)
Hg (0.3636, 0.8636, 0.0000)
Hg (0.6364, 0.1364, 0.0000)
Hg (0.1364, 0.3636, 0.0000)
Cu (0.3373, 0.1627, 0.5000)
Cu (0.1627, 0.6627, 0.5000)
Cu (0.8373, 0.3373, 0.5000)
Cu (0.6627, 0.8373, 0.5000)
In (0.0000, 0.0000, 0.0000)
In (0.5000, 0.5000, 0.0000)

**Magnetization**: 0.0000 μB/atom
**Energy relative to the lowest polymorph listed for this composition**: 52.8 meV per atom
**Space group**: P4/mbm, No. 127

=====

This record from Alexandria via LeMat-Bulk describes an optimized crystal structure of NaPb5S6. The functional is PBE.

Unit cell a=7.2369 b=7.2522 c=7.2475 alpha=59.98 beta=80.42 gamma=70.58
Sites, in units of the cell vectors:
Pb (0.5000, 0.5000, 0.0000)
Pb (0.5000, 0.1650, 0.6700)
Pb (0.5000, 0.8350, 0.3300)
Pb (0.0000, 0.3339, 0.3321)
Pb (0.0000, 0.6661, 0.6679)
S (0.7492, 0.4196, 0.6642)
S (0.7565, 0.7460, 0.0000)
S (0.2508, 0.9162, 0.6642)
S (0.2435, 0.2540, 0.0000)
S (0.2508, 0.5804, 0.3358)
S (0.7492, 0.0838, 0.3358)
Na (0.0000, 0.0000, 0.0000)

**Magnetization**: 0.0000 μB/atom
**E_tot**: -4.292 eV/atom
**Space group**: C2/m, No. 12

=====

This record from Alexandria via LeMat-Bulk describes an optimized crystal structure of AcLaP2. The functional is PBE.

Unit cell a=4.3171 b=4.3171 c=14.4372 alpha=90.00 beta=90.00 gamma=120.00
Sites, in units of the cell vectors:
La (0.0000, 0.0000, 0.5000)
La (0.0000, 0.0000, 0.0000)
Ac (0.3333, 0.6667, 0.7500)
Ac (0.6667, 0.3333, 0.2500)
P (0.3333, 0.6667, 0.1189)
P (0.3333, 0.6667, 0.3811)
P (0.6667, 0.3333, 0.6189)
P (0.6667, 0.3333, 0.8811)

**Magnetization**: 0.0000 μB/atom
**Energy relative to the lowest polymorph listed for this composition**: 31.4 meV per atom
**Space group**: P6_3/mmc, No. 194

=====

This record from Alexandria via LeMat-Bulk describes an optimized crystal structure of Ta2V2H3. The functional is PBE.

Unit cell a=5.3718 b=5.3608 c=5.6504 alpha=90.00 beta=59.97 gamma=90.00
Sites, in units of the cell vectors:
V (0.4590, 0.6353, 0.3041)
V (0.9590, 0.8647, 0.3041)
V (0.5410, 0.3647, 0.6959)
V (0.0410, 0.1353, 0.6959)
Ta (0.0524, 0.3721, 0.1972)
Ta (0.4476, 0.8721, 0.8028)
Ta (0.9476, 0.6279, 0.8028)
Ta (0.5524, 0.1279, 0.1972)
H (0.3246, 0.3634, 0.5247)
H (0.6754, 0.6366, 0.4753)
H (0.5000, 0.5000, 0.0000)
H (0.1754, 0.8634, 0.4753)
H (0.8246, 0.1366, 0.5247)
H (0.0000, 0.0000, 0.0000)

**Magnetization**: 0.0000 μB/atom
**E_tot**: -7.485 eV/atom
**Space group**: P2_1/c, No. 14

=====

This record from Alexandria via LeMat-Bulk describes an optimized crystal structure of GaPdBr. The functional is PBE.

Unit cell a=3.5110 b=4.7531 c=9.6385 alpha=90.10 beta=94.99 gamma=112.28
Sites, in units of the cell vectors:
Pd (0.1770, 0.7398, 0.4103)
Pd (0.4060, 0.2740, 0.2402)
Br (0.0959, 0.4628, 0.6477)
Br (0.2097, 0.0011, 0.9739)
Ga (0.8891, 0.1438, 0.4321)
Ga (0.0804, 0.6498, 0.1583)

**Magnetization**: 0.0000 μB/atom
**Energy relative to the lowest polymorph listed for this composition**: 18.8 meV per atom
**Space group**: P1, No. 1